Computed, not measured: a geometry-optimized LaV2IrF structure at the GGA+U level of DFT.

It has space group P4/mmm (No. 123), with a = 4.9213 Å, b = 4.9213 Å, c = 5.5942 Å, α = 90.00°, β = 90.00° and γ = 90.00°. The distinct sites, in fractional coordinates, are La at (0.0000, 0.0000, 0.0000), V at (0.0000, 0.5000, 0.5000), Ir at (0.0000, 0.0000, 0.5000) and F at (0.5000, 0.5000, 0.0000).

Its density is 5.54 g cm⁻³. The calculation puts the total energy at -29.423 eV for the cell shown. Its volume is 27.10 A^3/atom. The calculation puts the total magnetic moment at 5.947 μB/f.u.